Record 1
# Cs3Rb7O

An optimized crystal structure of Cs3Rb7O (GGA-PBE, the Alexandria database).

Cell lengths 11.098, 13.440, 13.030 Å; angles 90.00, 112.03, 90.00 degrees
Space group Cm (No. 8)
Asymmetric unit:
Cs  0.000  0.000  0.000
Cs  0.061  0.316  0.828
Rb  0.137  0.000  0.657
Rb  0.188  0.348  0.494
Rb  0.295  0.500  0.278
Rb  0.351  0.000  0.395
Rb  0.459  0.152  0.178
O  0.073  0.500  0.336

## Properties
- DOS(E_F): 16.9 states/eV/cell
- Magnetization: 0.0 μB/cell
- Mass density: 1.87 g/cm³
- Formation energy (no corrections): -265 kJ/mol of formula units


Record 2
# La4SmHg5

An optimized crystal structure of La4SmHg5 (GGA-PBE, the Alexandria database).

Cell lengths 3.893, 3.893, 19.381 Å; angles 90.00, 90.00, 90.00 degrees
Space group P4/mmm (No. 123)
Asymmetric unit:
La  0.000  0.000  0.102
La  0.000  0.000  0.304
Sm  0.000  0.000  0.500
Hg  0.500  0.500  0.000
Hg  0.500  0.500  0.202
Hg  0.500  0.500  0.408

## Properties
- DOS(E_F): 11.9 states/eV/cell
- Magnetization: 1.9 μB/cell
- Mass density: 9.66 g/cm³
- Energy of formation: -495 meV/atom


Record 3
# LiCeBiIr

An optimized crystal structure of LiCeBiIr (GGA-PBE, the Alexandria database).

Cell lengths 6.911, 6.911, 6.911 Å; angles 90.00, 90.00, 90.00 degrees
Space group F-43m (No. 216)
Asymmetric unit:
Li  0.000  0.000  0.000
Ce  0.250  0.250  0.250
Bi  0.250  0.250  0.750
Ir  0.000  0.000  0.500

## Properties
- DOS(E_F): 20.6 states/eV/cell
- Magnetization: 3.4 μB/cell
- Mass density: 11.03 g/cm³
- Energy of formation: -480 meV/atom


Record 4
# NdGe3

An optimized crystal structure of NdGe3 (GGA-PBE, the Alexandria database).

Cell lengths 4.071, 4.486, 4.808 Å; angles 90.00, 90.00, 90.00 degrees
Space group Pmm2 (No. 25)
Asymmetric unit:
Nd  0.000  0.000  0.000
Ge  0.000  0.500  0.467
Ge  0.500  0.000  0.492
Ge  0.500  0.500  0.835

## Properties
- DOS(E_F): 1.5 states/eV/cell
- Magnetization: 0.0 μB/cell
- Mass density: 6.85 g/cm³
- Energy of formation: -418 meV/atom


Record 5
# CdNi

An optimized crystal structure of CdNi (GGA-PBE, the Alexandria database).

Cell lengths 11.478, 11.478, 11.478 Å; angles 90.00, 90.00, 90.00 degrees
Space group Fd-3m (No. 227, origin choice 2)
Asymmetric unit:
Cd  0.075  0.375  0.375
Ni  0.000  0.000  0.500
Ni  0.047  0.047  0.703

## Properties
- DOS(E_F): 96.3 states/eV/cell
- Magnetization: 0.0 μB/cell
- Mass density: 9.02 g/cm³
- Energy of formation: -21 meV/atom


Record 6
# BaTl2O

An optimized crystal structure of BaTl2O (GGA-PBE, the Alexandria database).

Cell lengths 7.652, 7.652, 7.652 Å; angles 90.00, 90.00, 90.00 degrees
Space group Fm-3m (No. 225)
Asymmetric unit:
Ba  0.000  0.000  0.000
Tl  0.250  0.250  0.250
O  0.000  0.000  0.500

## Properties
- DOS(E_F): 12.4 states/eV/cell
- Magnetization: 0.0 μB/cell
- Excess energy over the best structure of this formula in the dataset: 651 meV/atom
- Mass density: 8.33 g/cm³
- Formation energy (no corrections): -14 kJ/mol of formula units


Record 7
# CdSbP

An optimized crystal structure of CdSbP (GGA-PBE, the Alexandria database).

Cell lengths 4.831, 5.189, 6.480 Å; angles 66.50, 85.46, 77.71 degrees
Space group P1 (No. 1)
Asymmetric unit:
Cd  0.000  0.000  0.000
Cd  0.497  0.507  0.988
Sb  0.495  0.823  0.360
Sb  0.992  0.333  0.340
P  0.319  0.343  0.673
P  0.672  0.995  0.672

## Properties
- DOS(E_F): 2.3 states/eV/cell
- Magnetization: 0.0 μB/cell
- Excess energy over the best structure of this formula in the dataset: 129 meV/atom
- Mass density: 6.05 g/cm³
- Formation energy (no corrections): 34 kJ/mol of formula units


Record 8
# Fe2TeP

An optimized crystal structure of Fe2TeP (GGA-PBE, the Alexandria database).

Cell lengths 5.540, 8.151, 3.642 Å; angles 90.00, 127.05, 90.00 degrees
Space group C2/m (No. 12)
Asymmetric unit:
Fe  0.250  0.250  0.000
Te  0.000  0.000  0.500
P  0.000  0.500  0.500

## Properties
- DOS(E_F): 7.5 states/eV/cell
- Magnetization: 9.5 μB/cell
- Excess energy over the best structure of this formula in the dataset: 606 meV/atom
- Mass density: 6.84 g/cm³
- Formation energy (no corrections): 198 kJ/mol of formula units


Record 9
# LaCuNi2

An optimized crystal structure of LaCuNi2 (GGA-PBE, the Alexandria database).

Cell lengths 3.385, 3.531, 5.579 Å; angles 90.00, 90.00, 90.00 degrees
Space group Pmm2 (No. 25)
Asymmetric unit:
La  0.000  0.000  0.000
Cu  0.500  0.500  0.674
Ni  0.000  0.000  0.493
Ni  0.500  0.500  0.257

## Properties
- DOS(E_F): 2.7 states/eV/cell
- Magnetization: 0.0 μB/cell
- Mass density: 7.96 g/cm³
- Energy of formation: 71 meV/atom


Record 10
# Li2MnTe

An optimized crystal structure of Li2MnTe (GGA-PBE, the Alexandria database).

Cell lengths 3.703, 3.715, 5.876 Å; angles 90.00, 90.00, 90.00 degrees
Space group Pmm2 (No. 25)
Asymmetric unit:
Li  0.000  0.000  0.000
Li  0.500  0.500  0.255
Mn  0.000  0.000  0.508
Te  0.500  0.500  0.746

## Properties
- DOS(E_F): 2.3 states/eV/cell
- Magnetization: 4.6 μB/cell
- Mass density: 4.04 g/cm³
- Formation energy (no corrections): -39 kJ/mol of formula units


Record 11
# LaFeW2

An optimized crystal structure of LaFeW2 (GGA-PBE, the Alexandria database).

Cell lengths 9.092, 3.217, 5.909 Å; angles 90.00, 108.74, 90.00 degrees
Space group Cm (No. 8)
Asymmetric unit:
La  0.000  0.000  0.000
Fe  0.250  0.500  0.345
W  0.201  0.000  0.632
W  0.467  0.000  0.469

## Properties
- DOS(E_F): 8.8 states/eV/cell
- Magnetization: 2.1 μB/cell
- Excess energy over the best structure of this formula in the dataset: 125 meV/atom
- Mass density: 11.41 g/cm³
- Energy of formation: 626 meV/atom


Record 12
# PrPuCoRu

An optimized crystal structure of PrPuCoRu (GGA-PBE, the Alexandria database).

Cell lengths 6.887, 6.887, 6.887 Å; angles 90.00, 90.00, 90.00 degrees
Space group F-43m (No. 216)
Asymmetric unit:
Pr  0.000  0.000  0.000
Pu  0.000  0.000  0.500
Co  0.250  0.250  0.750
Ru  0.250  0.250  0.250

## Properties
- DOS(E_F): 24.9 states/eV/cell
- Magnetization: 14.0 μB/cell
- Mass density: 11.08 g/cm³
- Energy of formation: 33 meV/atom